(1)
A plane-wave DFT calculation with PBE was carried out for an optimized crystal structure of Ca2TaV.

Output
- ΔH_f (0 K) (eV per atom) = 1.31
- relative energy among the computed polymorphs (meV per atom) = 235.2
- D(E_F) (states/eV per cell) = 9.42
- DFT total energy (eV per atom) = -4.930

Lattice parameters (Å, degrees): 6.550 6.550 6.550 100.94 100.94 128.34
Element x y z (fractional)
Ca  0.103  0.625  0.978
Ca  0.375  0.353  0.478
Ca  0.647  0.125  0.022
Ca  0.875  0.897  0.522
Ta  0.250  0.750  0.500
Ta  0.500  0.500  0.000
V  0.000  0.000  0.000
V  0.750  0.250  0.500

=====

(2)
A plane-wave DFT calculation with PBE was carried out for an optimized crystal structure of CaTaV3.

Output
- ΔH_f (0 K) (eV per atom) = 1.16
- relative energy among the computed polymorphs (meV per atom) = 0.0
- D(E_F) (states/eV per cell) = 9.55
- DFT total energy (eV per atom) = -7.078

Lattice parameters (Å, degrees): 4.760 4.760 4.760 90.00 90.00 90.00
Element x y z (fractional)
Ca  0.000  0.000  0.000
Ta  0.500  0.500  0.500
V  0.000  0.500  0.500
V  0.500  0.000  0.500
V  0.500  0.500  0.000

=====

(3)
A plane-wave DFT calculation with PBE was carried out for an optimized crystal structure of Ca3TaV.

Output
- ΔH_f (0 K) (eV per atom) = 1.47
- relative energy among the computed polymorphs (meV per atom) = 0.0
- D(E_F) (states/eV per cell) = 3.04
- DFT total energy (eV per atom) = -3.926

Lattice parameters (Å, degrees): 5.529 5.529 5.529 90.00 90.00 90.00
Element x y z (fractional)
Ca  0.000  0.000  0.500
Ca  0.000  0.500  0.000
Ca  0.500  0.000  0.000
Ta  0.500  0.500  0.500
V  0.000  0.000  0.000

=====

(4)
A plane-wave DFT calculation with PBE was carried out for an optimized crystal structure of CaTa2W.

Output
- ΔH_f (0 K) (eV per atom) = 0.67
- relative energy among the computed polymorphs (meV per atom) = 254.0
- D(E_F) (states/eV per cell) = 4.48
- DFT total energy (eV per atom) = -8.999

Lattice parameters (Å, degrees): 4.774 4.774 4.774 60.00 60.00 60.00
Element x y z (fractional)
Ca  0.000  0.000  0.000
Ta  0.250  0.250  0.250
Ta  0.750  0.750  0.750
W  0.500  0.500  0.500

=====

(5)
A plane-wave DFT calculation with PBE was carried out for an optimized crystal structure of CaTa2W.

Output
- ΔH_f (0 K) (eV per atom) = 0.67
- relative energy among the computed polymorphs (meV per atom) = 256.4
- D(E_F) (states/eV per cell) = 3.18
- DFT total energy (eV per atom) = -8.997

Lattice parameters (Å, degrees): 5.066 5.066 6.006 91.10 91.10 31.52
Element x y z (fractional)
Ca  0.000  0.000  0.000
Ta  0.246  0.246  0.711
Ta  0.503  0.503  0.492
W  0.752  0.752  0.284

=====

(6)
A plane-wave DFT calculation with PBE was carried out for an optimized crystal structure of CaTaW2.

Output
- ΔH_f (0 K) (eV per atom) = 1.00
- relative energy among the computed polymorphs (meV per atom) = 517.5
- D(E_F) (states/eV per cell) = 4.45
- DFT total energy (eV per atom) = -8.936

Lattice parameters (Å, degrees): 5.397 5.397 5.397 135.80 135.80 64.29
Element x y z (fractional)
Ca  0.000  0.000  0.000
Ta  0.500  0.500  0.000
W  0.250  0.750  0.500
W  0.750  0.250  0.500

=====

(7)
A plane-wave DFT calculation with PBE was carried out for an optimized crystal structure of CaTaW2.

Output
- ΔH_f (0 K) (eV per atom) = 0.61
- relative energy among the computed polymorphs (meV per atom) = 126.4
- D(E_F) (states/eV per cell) = 3.99
- DFT total energy (eV per atom) = -9.327

Lattice parameters (Å, degrees): 2.832 4.544 6.199 90.00 99.77 90.00
Element x y z (fractional)
Ca  0.000  0.000  0.000
Ta  0.764  0.500  0.304
W  0.259  0.500  0.708
W  0.487  0.000  0.513

=====

(8)
A plane-wave DFT calculation with PBE was carried out for an optimized crystal structure of CaTaW2.

Output
- ΔH_f (0 K) (eV per atom) = 0.90
- relative energy among the computed polymorphs (meV per atom) = 414.1
- D(E_F) (states/eV per cell) = 4.09
- DFT total energy (eV per atom) = -9.039

Lattice parameters (Å, degrees): 3.234 4.765 4.788 90.00 90.00 90.00
Element x y z (fractional)
Ca  0.000  0.000  0.000
Ta  0.500  0.500  0.000
W  0.000  0.500  0.500
W  0.500  0.000  0.500

=====

(9)
A plane-wave DFT calculation with PBE was carried out for an optimized crystal structure of CaTa2W.

Output
- ΔH_f (0 K) (eV per atom) = 0.69
- relative energy among the computed polymorphs (meV per atom) = 282.6
- D(E_F) (states/eV per cell) = 4.77
- DFT total energy (eV per atom) = -8.970

Lattice parameters (Å, degrees): 10.692 10.692 10.692 15.82 15.82 15.82
Element x y z (fractional)
Ca  0.000  0.000  0.000
Ta  0.242  0.242  0.242
Ta  0.495  0.495  0.495
W  0.752  0.752  0.752

=====

(10)
A plane-wave DFT calculation with PBE was carried out for an optimized crystal structure of CaTaW2.

Output
- ΔH_f (0 K) (eV per atom) = 0.95
- relative energy among the computed polymorphs (meV per atom) = 459.5
- D(E_F) (states/eV per cell) = 4.11
- DFT total energy (eV per atom) = -8.994

Lattice parameters (Å, degrees): 4.846 4.846 3.164 90.00 90.00 90.00
Element x y z (fractional)
Ca  0.000  0.000  0.000
Ta  0.500  0.500  0.000
W  0.000  0.500  0.500
W  0.500  0.000  0.500

=====

(11)
A plane-wave DFT calculation with PBE was carried out for an optimized crystal structure of CaTaW2.

Output
- ΔH_f (0 K) (eV per atom) = 0.73
- relative energy among the computed polymorphs (meV per atom) = 245.3
- D(E_F) (states/eV per cell) = 3.06
- DFT total energy (eV per atom) = -9.208

Lattice parameters (Å, degrees): 2.768 4.639 6.449 90.00 90.00 90.00
Element x y z (fractional)
Ca  0.000  0.000  0.000
Ta  0.000  0.000  0.500
W  0.500  0.500  0.309
W  0.500  0.500  0.691

=====

(12)
A plane-wave DFT calculation with PBE was carried out for an optimized crystal structure of CaTaW2.

Output
- ΔH_f (0 K) (eV per atom) = 1.38
- relative energy among the computed polymorphs (meV per atom) = 896.4
- D(E_F) (states/eV per cell) = 10.30
- DFT total energy (eV per atom) = -8.557

Lattice parameters (Å, degrees): 6.111 6.111 6.111 102.65 102.65 124.20
Element x y z (fractional)
Ca  0.000  0.000  0.000
Ca  0.750  0.250  0.500
Ta  0.250  0.750  0.500
Ta  0.500  0.500  0.000
W  0.159  0.625  0.034
W  0.375  0.409  0.534
W  0.591  0.125  0.966
W  0.875  0.841  0.466

=====

(13)
A plane-wave DFT calculation with PBE was carried out for an optimized crystal structure of CaTaW2.

Output
- ΔH_f (0 K) (eV per atom) = 0.72
- relative energy among the computed polymorphs (meV per atom) = 232.3
- D(E_F) (states/eV per cell) = 4.06
- DFT total energy (eV per atom) = -9.221

Lattice parameters (Å, degrees): 5.623 5.623 2.752 98.75 98.75 117.38
Element x y z (fractional)
Ca  0.000  0.000  0.000
Ta  0.500  0.500  0.000
W  0.000  0.500  0.500
W  0.500  0.000  0.500

=====

(14)
A plane-wave DFT calculation with PBE was carried out for an optimized crystal structure of CaTaW.

Output
- ΔH_f (0 K) (eV per atom) = 0.52
- relative energy among the computed polymorphs (meV per atom) = 0.0
- D(E_F) (states/eV per cell) = 2.18
- DFT total energy (eV per atom) = -8.413

Lattice parameters (Å, degrees): 6.188 6.188 6.188 147.79 147.79 46.20
Element x y z (fractional)
Ca  0.000  0.000  0.000
Ta  0.290  0.290  0.000
W  0.694  0.694  0.000

=====

(15)
A plane-wave DFT calculation with PBE was carried out for an optimized crystal structure of CaTaW3.

Output
- ΔH_f (0 K) (eV per atom) = 1.85
- relative energy among the computed polymorphs (meV per atom) = 0.0
- D(E_F) (states/eV per cell) = 8.97
- DFT total energy (eV per atom) = -8.696

Lattice parameters (Å, degrees): 4.892 4.892 4.892 90.00 90.00 90.00
Element x y z (fractional)
Ca  0.000  0.000  0.000
Ta  0.500  0.500  0.500
W  0.000  0.500  0.500
W  0.500  0.000  0.500
W  0.500  0.500  0.000